## FeHg2 (PBE)

Data for an optimized crystal structure of FeHg2.

The space group is C2/m (No. 12) and the conventional cell measures 10.9482, 3.0641 and 7.9342 Å, with angles of 90.00, 117.65 and 90.00 degrees. Symmetry generates all atoms from Fe at (0.2047, 0.0000, 0.0717), Hg at (0.0120, 0.5000, 0.2021) and Hg at (0.1632, 0.0000, 0.5974).

Its density of states at the Fermi level is 6.2 states/eV/cell. Its formation energy from the elements is 31 kJ per mole of atoms. The total magnetization is 11.17 μB/cell.

## FeHg7 (PBE)

Data for an optimized crystal structure of FeHg7.

The space group is Fm-3m (No. 225) and the conventional cell measures 9.0048, 9.0048 and 9.0048 Å, with angles of 90.00, 90.00 and 90.00 degrees. Symmetry generates all atoms from Fe at (0.0000, 0.0000, 0.0000), Hg at (0.0000, 0.0000, 0.5000) and Hg at (0.0000, 0.2500, 0.2500).

Its density of states at the Fermi level is 27.8 states/eV/cell. Its formation energy from the elements is 29 kJ per mole of atoms. The total magnetization is 11.66 μB/cell.

## Fe4Hg (PBE)

Data for an optimized crystal structure of Fe4Hg.

The space group is I4/m (No. 87) and the conventional cell measures 6.6812, 6.6812 and 3.0438 Å, with angles of 90.00, 90.00 and 90.00 degrees. Symmetry generates all atoms from Fe at (0.1089, 0.6780, 0.0000) and Hg at (0.0000, 0.0000, 0.5000).

Its density of states at the Fermi level is 9.8 states/eV/cell. Its formation energy from the elements is 25 kJ per mole of atoms. The total magnetization is 20.40 μB/cell. The calculation puts the polymorph energy (0 for the lowest one) at 37 meV/atom.

## Fe3Hg (PBE)

Data for an optimized crystal structure of Fe3Hg.

The space group is Pmmn (No. 59, origin choice 2) and the conventional cell measures 4.3038, 5.3764 and 4.9048 Å, with angles of 90.00, 90.00 and 90.00 degrees. Symmetry generates all atoms from Fe at (0.2500, 0.0078, 0.1415), Fe at (0.2500, 0.7500, 0.7302) and Hg at (0.2500, 0.2500, 0.6351).

Its density of states at the Fermi level is 6.8 states/eV/cell. Its formation energy from the elements is 31 kJ per mole of atoms. The total magnetization is 14.96 μB/cell.

## Fe3Hg (PBE)

Data for an optimized crystal structure of Fe3Hg.

The space group is P2/m (No. 10) and the conventional cell measures 3.0275, 3.0013 and 6.2289 Å, with angles of 90.00, 90.07 and 90.00 degrees. Symmetry generates all atoms from Fe at (0.0000, 0.0000, 0.0000), Fe at (0.5000, 0.5000, 0.2059) and Hg at (0.0000, 0.0000, 0.5000).

Its density of states at the Fermi level is 3.0 states/eV/cell. Its formation energy from the elements is 25 kJ per mole of atoms. The total magnetization is 7.69 μB/cell.

## Fe4Hg (PBE)

Data for an optimized crystal structure of Fe4Hg.

The space group is R-3m (No. 166, hexagonal axes) and the conventional cell measures 2.7707, 2.7707 and 31.9010 Å, with angles of 90.00, 90.00 and 120.00 degrees. Symmetry generates all atoms from Fe at (0.0000, 0.0000, 0.0905), Fe at (0.0000, 0.0000, 0.3031) and Hg at (0.0000, 0.0000, 0.5000).

Its density of states at the Fermi level is 11.2 states/eV/cell. Its formation energy from the elements is 36 kJ per mole of atoms. The total magnetization is 31.42 μB/cell. The calculation puts the polymorph energy (0 for the lowest one) at 152 meV/atom.

## Fe3Hg (PBE)

Data for an optimized crystal structure of Fe3Hg.

The space group is P-6m2 (No. 187) and the conventional cell measures 2.8251, 2.8251 and 8.5385 Å, with angles of 90.00, 90.00 and 120.00 degrees. Symmetry generates all atoms from Fe at (0.0000, 0.0000, 0.0000), Fe at (0.3333, 0.6667, 0.2178) and Hg at (0.0000, 0.0000, 0.5000).

Its density of states at the Fermi level is 4.4 states/eV/cell. Its formation energy from the elements is 44 kJ per mole of atoms. The total magnetization is 7.84 μB/cell.

## Fe2Hg3 (PBE)

Data for an optimized crystal structure of Fe2Hg3.

The space group is C2/m (No. 12) and the conventional cell measures 10.2694, 2.9696 and 7.2954 Å, with angles of 90.00, 123.26 and 90.00 degrees. Symmetry generates all atoms from Fe at (0.1422, 0.0000, 0.4026), Hg at (0.0000, 0.5000, 0.0000) and Hg at (0.1484, 0.5000, 0.7389).

Its density of states at the Fermi level is 5.0 states/eV/cell. Its formation energy from the elements is 34 kJ per mole of atoms. The total magnetization is 10.58 μB/cell. The calculation puts the polymorph energy (0 for the lowest one) at 61 meV/atom.

## FeHg2 (PBE)

Data for an optimized crystal structure of FeHg2.

The space group is P-6m2 (No. 187) and the conventional cell measures 3.0797, 3.0797 and 14.2246 Å, with angles of 90.00, 90.00 and 120.00 degrees. Symmetry generates all atoms from Fe at (0.0000, 0.0000, 0.1540), Hg at (0.0000, 0.0000, 0.5000), Hg at (0.6667, 0.3333, 0.0000) and Hg at (0.6667, 0.3333, 0.3066).

Its density of states at the Fermi level is 4.6 states/eV/cell. Its formation energy from the elements is 42 kJ per mole of atoms. The total magnetization is 5.51 μB/cell.

## FeHg2 (PBE)

Data for an optimized crystal structure of FeHg2.

The space group is P-3m1 (No. 164) and the conventional cell measures 3.1375, 3.1375 and 14.3922 Å, with angles of 90.00, 90.00 and 120.00 degrees. Symmetry generates all atoms from Fe at (0.3333, 0.6667, 0.0546), Hg at (0.3333, 0.6667, 0.4022) and Hg at (0.3333, 0.6667, 0.7918).

Its density of states at the Fermi level is 2.6 states/eV/cell. Its formation energy from the elements is 29 kJ per mole of atoms. The total magnetization is 5.55 μB/cell.

## FeHg4 (PBE)

Data for an optimized crystal structure of FeHg4.

The space group is R-3m (No. 166, hexagonal axes) and the conventional cell measures 4.5513, 4.5513 and 20.8835 Å, with angles of 90.00, 90.00 and 120.00 degrees. Symmetry generates all atoms from Fe at (0.0000, 0.0000, 0.0000), Hg at (0.0000, 0.0000, 0.1297) and Hg at (0.0000, 0.0000, 0.2910).

Its density of states at the Fermi level is 10.4 states/eV/cell. Its formation energy from the elements is 32 kJ per mole of atoms. The total magnetization is 8.72 μB/cell.

## Fe2Hg3 (PBE)

Data for an optimized crystal structure of Fe2Hg3.

The space group is R-3m (No. 166, hexagonal axes) and the conventional cell measures 4.2203, 4.2203 and 18.9430 Å, with angles of 90.00, 90.00 and 120.00 degrees. Symmetry generates all atoms from Fe at (0.0000, 0.0000, 0.1648), Hg at (0.0000, 0.0000, 0.0000) and Hg at (0.0000, 0.0000, 0.4207).

Its density of states at the Fermi level is 7.8 states/eV/cell. Its formation energy from the elements is 43 kJ per mole of atoms. The total magnetization is 14.49 μB/cell. The calculation puts the polymorph energy (0 for the lowest one) at 162 meV/atom.

## Fe2Hg (PBE)

Data for an optimized crystal structure of Fe2Hg.

The space group is C2/c (No. 15) and the conventional cell measures 7.9388, 4.9695 and 5.6960 Å, with angles of 90.00, 126.51 and 90.00 degrees. Symmetry generates all atoms from Fe at (0.1493, 0.1045, 0.2452) and Hg at (0.0000, 0.3934, 0.7500).

Its density of states at the Fermi level is 8.7 states/eV/cell. Its formation energy from the elements is 40 kJ per mole of atoms. The total magnetization is 20.84 μB/cell.

## Fe2Hg (PBE)

Data for an optimized crystal structure of Fe2Hg.

The space group is P-6m2 (No. 187) and the conventional cell measures 2.8949, 2.8949 and 12.9343 Å, with angles of 90.00, 90.00 and 120.00 degrees. Symmetry generates all atoms from Fe at (0.0000, 0.0000, 0.0000), Fe at (0.0000, 0.0000, 0.3601), Fe at (0.6667, 0.3333, 0.5000) and Hg at (0.6667, 0.3333, 0.1782).

Its density of states at the Fermi level is 6.6 states/eV/cell. Its formation energy from the elements is 48 kJ per mole of atoms. The total magnetization is 5.40 μB/cell.

## Fe2Hg (PBE)

Data for an optimized crystal structure of Fe2Hg.

The space group is P4/mmm (No. 123) and the conventional cell measures 3.3518, 3.3518 and 4.5082 Å, with angles of 90.00, 90.00 and 90.00 degrees. Symmetry generates all atoms from Fe at (0.0000, 0.5000, 0.0000) and Hg at (0.0000, 0.0000, 0.5000).

Its density of states at the Fermi level is 3.4 states/eV/cell. Its formation energy from the elements is 57 kJ per mole of atoms. The total magnetization is 4.96 μB/cell.

## FeHg2 (PBE)

Data for an optimized crystal structure of FeHg2.

The space group is P6_3/mmc (No. 194) and the conventional cell measures 5.7309, 5.7309 and 9.6096 Å, with angles of 90.00, 90.00 and 120.00 degrees. Symmetry generates all atoms from Fe at (0.3333, 0.6667, 0.0125), Hg at (0.0000, 0.0000, 0.0000) and Hg at (0.1689, 0.3379, 0.2500).

Its density of states at the Fermi level is 9.6 states/eV/cell. Its formation energy from the elements is 82 kJ per mole of atoms. The total magnetization is 12.15 μB/cell.

## Fe2Hg3 (PBE)

Data for an optimized crystal structure of Fe2Hg3.

The space group is C2/m (No. 12) and the conventional cell measures 12.3010, 5.0791 and 3.0842 Å, with angles of 90.00, 91.04 and 90.00 degrees. Symmetry generates all atoms from Fe at (0.0741, 0.0000, 0.2509), Hg at (0.0000, 0.5000, 0.5000) and Hg at (0.2265, 0.5000, 0.2315).

Its density of states at the Fermi level is 5.7 states/eV/cell. Its formation energy from the elements is 43 kJ per mole of atoms. The total magnetization is 11.10 μB/cell. The calculation puts the polymorph energy (0 for the lowest one) at 155 meV/atom.

## FeHg4 (PBE)

Data for an optimized crystal structure of FeHg4.

The space group is C2/m (No. 12) and the conventional cell measures 12.4691, 2.9459 and 7.8475 Å, with angles of 90.00, 128.75 and 90.00 degrees. Symmetry generates all atoms from Fe at (0.0000, 0.0000, 0.0000), Hg at (0.0007, 0.5000, 0.3034) and Hg at (0.2436, 0.5000, 0.2427).

Its density of states at the Fermi level is 5.2 states/eV/cell. Its formation energy from the elements is 24 kJ per mole of atoms. The total magnetization is 5.12 μB/cell.

## Fe2Hg3 (PBE)

Data for an optimized crystal structure of Fe2Hg3.

The space group is I4/mmm (No. 139) and the conventional cell measures 2.9499, 2.9499 and 20.8015 Å, with angles of 90.00, 90.00 and 90.00 degrees. Symmetry generates all atoms from Fe at (0.0000, 0.0000, 0.0938), Hg at (0.0000, 0.0000, 0.3128) and Hg at (0.0000, 0.0000, 0.5000).

Its density of states at the Fermi level is 6.7 states/eV/cell. Its formation energy from the elements is 42 kJ per mole of atoms. The total magnetization is 10.71 μB/cell. The calculation puts the polymorph energy (0 for the lowest one) at 150 meV/atom.

## Fe2Hg (PBE)

Data for an optimized crystal structure of Fe2Hg.

The space group is C2/c (No. 15) and the conventional cell measures 5.5907, 5.5872 and 12.0495 Å, with angles of 90.00, 103.29 and 90.00 degrees. Symmetry generates all atoms from Fe at (0.0652, 0.1256, 0.3810), Fe at (0.2499, 0.1241, 0.7496) and Hg at (0.0805, 0.3741, 0.9123).

Its density of states at the Fermi level is 20.0 states/eV/cell. Its formation energy from the elements is 35 kJ per mole of atoms. The total magnetization is 40.69 μB/cell.

## Fe2Hg (PBE)

Data for an optimized crystal structure of Fe2Hg.

The space group is I4/mcm (No. 140) and the conventional cell measures 6.0474, 6.0474 and 5.4409 Å, with angles of 90.00, 90.00 and 90.00 degrees. Symmetry generates all atoms from Fe at (0.1326, 0.3674, 0.0000) and Hg at (0.0000, 0.0000, 0.2500).

Its density of states at the Fermi level is 10.8 states/eV/cell. Its formation energy from the elements is 71 kJ per mole of atoms. The total magnetization is 22.10 μB/cell.

## Fe2Hg (PBE)

Data for an optimized crystal structure of Fe2Hg.

The space group is P-1 (No. 2) and the conventional cell measures 3.0211, 3.0292 and 9.9976 Å, with angles of 89.79, 89.92 and 90.00 degrees. Symmetry generates all atoms from Fe at (0.2489, 0.2471, 0.1921), Fe at (0.2503, 0.2509, 0.9300) and Hg at (0.2520, 0.2553, 0.6219).

Its density of states at the Fermi level is 5.9 states/eV/cell. Its formation energy from the elements is 24 kJ per mole of atoms. The total magnetization is 10.10 μB/cell.

## Fe3Hg (PBE)

Data for an optimized crystal structure of Fe3Hg.

The space group is Fm-3m (No. 225) and the conventional cell measures 6.0938, 6.0938 and 6.0938 Å, with angles of 90.00, 90.00 and 90.00 degrees. Symmetry generates all atoms from Fe at (0.0000, 0.0000, 0.0000), Fe at (0.2500, 0.2500, 0.2500) and Hg at (0.0000, 0.0000, 0.5000).

Its density of states at the Fermi level is 9.5 states/eV/cell. Its formation energy from the elements is 36 kJ per mole of atoms. The total magnetization is 31.16 μB/cell.

## FeHg2 (PBE)

Data for an optimized crystal structure of FeHg2.

The space group is Cmcm (No. 63) and the conventional cell measures 2.9813, 15.3594 and 5.1146 Å, with angles of 90.00, 90.00 and 90.00 degrees. Symmetry generates all atoms from Fe at (0.0000, 0.2221, 0.2500), Hg at (0.0000, 0.1298, 0.7500) and Hg at (0.0000, 0.4383, 0.7500).

Its density of states at the Fermi level is 9.4 states/eV/cell. Its formation energy from the elements is 44 kJ per mole of atoms. The total magnetization is 11.23 μB/cell.

## Fe4Hg (PBE)

Data for an optimized crystal structure of Fe4Hg.

The space group is I4/mmm (No. 139) and the conventional cell measures 3.7432, 3.7432 and 9.6764 Å, with angles of 90.00, 90.00 and 90.00 degrees. Symmetry generates all atoms from Fe at (0.0000, 0.0000, 0.1093), Fe at (0.0000, 0.5000, 0.2500) and Hg at (0.0000, 0.0000, 0.5000).

Its density of states at the Fermi level is 9.1 states/eV/cell. Its formation energy from the elements is 51 kJ per mole of atoms. The total magnetization is 8.69 μB/cell. The calculation puts the polymorph energy (0 for the lowest one) at 306 meV/atom.

## Fe2Hg (PBE)

Data for an optimized crystal structure of Fe2Hg.

The space group is C2/m (No. 12) and the conventional cell measures 9.1487, 3.0705 and 6.9512 Å, with angles of 90.00, 105.36 and 90.00 degrees. Symmetry generates all atoms from Fe at (0.0818, 0.0000, 0.1863), Fe at (0.1361, 0.5000, 0.9471) and Hg at (0.1573, 0.0000, 0.6197).

Its density of states at the Fermi level is 9.8 states/eV/cell. Its formation energy from the elements is 32 kJ per mole of atoms. The total magnetization is 20.73 μB/cell.

## FeHg4 (PBE)

Data for an optimized crystal structure of FeHg4.

The space group is Pm-3m (No. 221) and the conventional cell measures 5.2278, 5.2278 and 5.2278 Å, with angles of 90.00, 90.00 and 90.00 degrees. Symmetry generates all atoms from Fe at (0.0000, 0.0000, 0.0000), Hg at (0.0000, 0.0000, 0.5000) and Hg at (0.5000, 0.5000, 0.5000).

Its density of states at the Fermi level is 4.9 states/eV/cell. Its formation energy from the elements is 36 kJ per mole of atoms. The total magnetization is 2.70 μB/cell.